Here is a relaxed structure of SrHgMo3 from the Alexandria database. Energies are from PBE.

abc: 4.813 4.813 4.813
angles: 90.00 90.00 90.00
Fractional coordinates of all 5 atoms:
Sr  0.000  0.000  0.000
Hg  0.500  0.500  0.500
Mo  0.000  0.000  0.500
Mo  0.000  0.500  0.000
Mo  0.500  0.000  0.000

Calculated values
energy relative to the lowest polymorph listed for this composition: 714.3 meV per atom
total magnetization: 0.000 Bohr magnetons per cell
V: 111.48 Å³ per cell
SG: No. 221
ΔE_f: 2.90 eV/atom